The following is a PBE calculation of a relaxed structure of CuPtSCl2, from Alexandria.

Properties
DOS at the Fermi energy, states/eV per atom: 1.142
Crystal system: tetragonal
DFT total energy, Ry/atom: -0.2168
Total magnetic moment, μB per atom: 0.1779
E above lowest polymorph, eV per formula unit: 1.36
Space group: P4/mmm

Cell lengths 4.394, 4.394, 5.149 Å; angles 90.00, 90.00, 90.00 degrees
Last column: magnetic moment on the atom in μB.
Fractional coordinates of all 5 atoms:
Cl 0.500 0.000 0.000  0.06
Cl 0.000 0.500 0.000  0.06
S 0.000 0.000 0.500  0.08
Cu 0.000 0.000 0.000  0.02
Pt 0.500 0.500 0.500  0.56